Compound: NiMoIr2S
Source: Alexandria via LeMat-Bulk
Functional: PBE-GGA
Structure: relaxed

**Spin magnetization**: 3.45 μB per cell
**DOS at the Fermi energy**: 1.952 states/eV per atom
**VASP energy**: -6.8879 eV per atom
**Space-group type**: P4/mmm (123)

Cell: 4.4396 4.0830 4.4396 Å, 90.00 90.00 90.00°
Each line ends with the local moment (μB).
Fractional positions:
Mo: 0.5000 0.5000 0.5000  2.39
S: 0.0000 0.0000 0.0000  0.03
Ir: 0.5000 0.0000 0.0000  0.26
Ni: 0.0000 0.5000 0.0000  0.15
Ir: 0.0000 0.0000 0.5000  0.25